# TiCo3I

A geometry-optimized TiCo3I structure (GGA-PBE, Alexandria via LeMat-Bulk).

a b c (Å): 4.4250 4.4250 4.4250
angles (deg): 90.00 90.00 90.00
Last column: nearest neighbours and their distance in Å.
Fractional positions:
Ti1 0.0000 0.0000 0.0000  6 Co 2.21
Co1 0.0000 0.0000 0.5000  2 Ti 2.21
Co2 0.0000 0.5000 0.0000  2 Ti 2.21
Co3 0.5000 0.0000 0.0000  2 Ti 2.21
I1 0.5000 0.5000 0.5000  12 Co 3.13

E above lowest polymorph = 0.0 meV/atom
V = 87 Å³/cell
magnetic moment = 1.86 μB per cell
SG = Pm-3m (221)
raw formation energy = 1.19 eV per atom